# Ir2W3 GGA-PBE optimized geometry
data_Ir2W3
_cell_length_a 9.575
_cell_length_b 13.518
_cell_length_c 4.849
_cell_angle_alpha 90.00
_cell_angle_beta 90.00
_cell_angle_gamma 90.00
_space_group_name_H-M_alt 'F d d 2'
_space_group_IT_number 43
_space_group_name_Hall 'F 2 -2d'
loop_
_atom_site_label
_atom_site_fract_x
_atom_site_fract_y
_atom_site_fract_z
_atom_site_occupancy
Ir1 0.031 0.297 0.000 1
W1 0.000 0.000 0.446 1
W2 0.050 0.395 0.473 1
# spin magnetization = 0.000 μB/f.u.
# volume = 15.69 Å³/atom
# formation energy from the elements = -21 meV per atom
# energy above the lowest structure with this stoichiometry = 0 meV per atom